(1)
Ag2Hg2Cl after structural relaxation. Source: Alexandria, functional PBE-GGA.

Geometry as extended XYZ:
```
10
Lattice="8.359 0.000 0.000 0.000 8.359 0.000 0.000 0.000 3.224" Properties=species:S:1:pos:R:3 pbc="T T T"
Ag 0.995 3.185 0.000
Ag 3.185 7.364 0.000
Ag 5.175 0.995 0.000
Ag 7.364 5.175 0.000
Hg 1.502 5.682 1.612
Hg 2.678 1.502 1.612
Hg 5.682 6.857 1.612
Hg 6.857 2.678 1.612
Cl 0.000 0.000 1.612
Cl 4.180 4.180 1.612
```

Energy relative to the lowest polymorph listed for this composition: 0.0479 eV/atom
Uncorrected energy: -16.20 eV per cell
V: 112.6 Å³/f.u.
E_form (uncorrected): 0.0105 eV/atom
DOS(E_F): 1.85 states/eV/cell



(2)
AgHg2Cl after structural relaxation. Source: Alexandria, functional PBE-GGA.

Geometry as extended XYZ:
```
8
Lattice="-4.875 4.875 2.545 4.875 -4.875 2.545 4.875 4.875 -2.545" Properties=species:S:1:pos:R:3 pbc="T T T"
Ag 0.000 0.000 0.000
Ag 0.000 4.875 1.272
Hg 7.312 1.574 -0.636
Hg 1.574 2.437 0.636
Hg -2.437 3.300 1.909
Hg 3.300 2.437 3.181
Cl 4.875 0.000 1.272
Cl 0.000 0.000 2.545
```

Energy relative to the lowest polymorph listed for this composition: 0.0335 eV/atom
Uncorrected energy: -12.06 eV per cell
V: 120.9 Å³/f.u.
E_form (uncorrected): -0.1820 eV/atom
DOS(E_F): 0.00 states/eV/cell